<A>
Computed, not measured: a relaxed Li3CuRh crystal at the PBE level of DFT.

POSCAR file:
```
Li3CuRh
1.0
4.325 0.000 0.000
0.000 4.325 0.000
0.000 0.000 4.325
Rh Cu Li
1 1 3
direct
0.500 0.500 0.500 Rh
0.000 0.000 0.000 Cu
0.000 0.500 0.000 Li
0.000 0.000 0.500 Li
0.500 0.000 0.000 Li
```

Values from the calculation:
As for the space group: Pm-3m.


<B>
Computed, not measured: a relaxed Li3CuRh crystal at the PBE level of DFT.

POSCAR file:
```
Li3CuRh
1.0
-0.848 0.976 4.554
1.081 -3.175 3.342
3.697 0.852 2.967
Li Cu Rh
3 1 1
direct
0.301 0.803 0.092 Li
0.803 0.301 0.092 Li
0.803 0.803 0.092 Li
0.806 0.806 0.582 Cu
0.161 0.161 0.516 Rh
```

Values from the calculation:
As for the space group: R3m.


<C>
Computed, not measured: a relaxed Li3CuRh crystal at the PBE level of DFT.

POSCAR file:
```
Li3CuRh
1.0
4.522 0.000 0.000
0.000 4.522 0.000
0.000 0.000 4.522
Rh Cu Li
1 1 3
direct
0.000 0.000 0.000 Rh
0.500 0.500 0.500 Cu
0.000 0.500 0.000 Li
0.000 0.000 0.500 Li
0.500 0.000 0.000 Li
```

Values from the calculation:
As for the space group: Pm-3m.


<D>
Computed, not measured: a relaxed Li3CuRh crystal at the PBE level of DFT.

POSCAR file:
```
Li3CuRh
1.0
-2.282 -3.075 2.752
2.962 0.632 3.163
-2.365 5.455 4.147
Li Cu Rh
6 2 2
direct
0.748 0.247 0.503 Li
0.752 0.634 0.728 Li
0.248 0.366 0.272 Li
0.252 0.753 0.497 Li
0.000 0.000 0.000 Li
0.500 0.000 0.000 Li
0.753 0.843 0.312 Cu
0.247 0.157 0.688 Cu
0.749 0.446 0.105 Rh
0.251 0.554 0.895 Rh
```

Values from the calculation:
As for the space group: P-1.


Most stable structure - <D>; separation to the second - 371 meV per atom.


<A>
Computed, not measured: a relaxed Li2Cu5Rh2 crystal at the PBE level of DFT.

POSCAR file:
```
Li2Cu5Rh2
1.0
4.070 -0.699 -0.769
-2.008 3.838 -2.255
1.535 0.115 7.440
Li Cu Rh
2 5 2
direct
0.995 0.991 0.670 Li
0.005 0.009 0.330 Li
0.330 0.658 0.124 Cu
0.670 0.342 0.876 Cu
0.664 0.328 0.546 Cu
0.336 0.672 0.454 Cu
0.000 0.000 0.000 Cu
0.666 0.331 0.214 Rh
0.334 0.669 0.786 Rh
```

Values from the calculation:
As for the space group: P-1.


<B>
Computed, not measured: a relaxed Li2Cu5Rh2 crystal at the PBE level of DFT.

POSCAR file:
```
Li2Cu5Rh2
1.0
5.044 0.000 0.000
0.000 7.440 -1.176
-2.522 -4.709 7.050
Li Cu Rh
4 10 4
direct
0.075 0.156 0.151 Li
0.575 0.656 0.151 Li
0.320 0.432 0.640 Li
0.820 0.932 0.640 Li
0.228 0.766 0.964 Cu
0.736 0.766 0.964 Cu
0.236 0.266 0.964 Cu
0.728 0.266 0.964 Cu
0.447 0.072 0.373 Cu
0.802 0.547 0.604 Cu
0.426 0.572 0.373 Cu
0.302 0.047 0.604 Cu
0.947 0.572 0.373 Cu
0.926 0.072 0.373 Cu
0.090 0.679 0.180 Rh
0.876 0.348 0.752 Rh
0.590 0.179 0.180 Rh
0.376 0.848 0.752 Rh
```

Values from the calculation:
As for the space group: Cm.


Most stable structure - <A>; separation to the second - 13 meV per atom.


<A>
Computed, not measured: a relaxed Li3CuRh2 crystal at the PBE level of DFT.

POSCAR file:
```
Li3CuRh2
1.0
-3.779 2.004 -1.750
-0.404 -3.709 2.728
-0.460 4.948 6.661
Li Cu Rh
6 2 4
direct
0.172 0.344 0.250 Li
0.344 0.172 0.750 Li
0.828 0.656 0.750 Li
0.172 0.828 0.250 Li
0.828 0.172 0.750 Li
0.656 0.828 0.250 Li
0.000 0.000 0.500 Cu
0.000 0.000 0.000 Cu
0.667 0.333 0.479 Rh
0.333 0.667 0.521 Rh
0.333 0.667 0.979 Rh
0.667 0.333 0.021 Rh
```

Values from the calculation:
As for the space group: P6_3/mmc.


<B>
Computed, not measured: a relaxed Li3CuRh2 crystal at the PBE level of DFT.

POSCAR file:
```
Li3CuRh2
1.0
-0.069 -0.858 -6.532
4.972 -2.104 0.224
-4.317 -3.215 0.468
Li Cu Rh
6 2 4
direct
0.680 0.343 0.171 Li
0.680 0.829 0.657 Li
0.680 0.829 0.171 Li
0.320 0.171 0.829 Li
0.320 0.657 0.829 Li
0.320 0.171 0.343 Li
0.321 0.667 0.333 Cu
0.679 0.333 0.667 Cu
0.000 0.000 0.000 Rh
0.000 0.500 0.500 Rh
0.000 0.500 0.000 Rh
0.000 0.000 0.500 Rh
```

Values from the calculation:
As for the space group: P-3m1.


Most stable structure - <B>; separation to the second - 32 meV per atom.


<A>
Computed, not measured: a relaxed Li5Cu4Rh crystal at the PBE level of DFT.

POSCAR file:
```
Li5Cu4Rh
1.0
-3.221 2.603 1.537
-4.337 -3.122 2.546
1.297 2.199 5.340
Li Cu Rh
5 4 1
direct
0.532 0.522 0.913 Li
0.968 0.087 0.478 Li
0.750 0.500 0.500 Li
0.532 0.913 0.522 Li
0.968 0.478 0.087 Li
0.250 0.351 0.649 Cu
0.563 0.187 0.187 Cu
0.937 0.813 0.813 Cu
0.250 0.649 0.351 Cu
0.250 0.000 0.000 Rh
```

Values from the calculation:
As for the space group: Immm.


<B>
Computed, not measured: a relaxed Li5Cu4Rh crystal at the PBE level of DFT.

POSCAR file:
```
Li5Cu4Rh
1.0
4.270 0.000 0.000
0.000 7.654 0.000
0.000 0.000 8.656
Li Cu Rh
10 8 2
direct
0.172 0.833 0.845 Li
0.172 0.167 0.845 Li
0.048 0.500 0.000 Li
0.172 0.833 0.155 Li
0.172 0.167 0.155 Li
0.828 0.667 0.345 Li
0.828 0.333 0.345 Li
0.952 0.000 0.500 Li
0.828 0.333 0.655 Li
0.828 0.667 0.655 Li
0.621 0.000 0.718 Cu
0.595 0.675 0.000 Cu
0.595 0.325 0.000 Cu
0.621 0.000 0.282 Cu
0.379 0.500 0.218 Cu
0.405 0.825 0.500 Cu
0.405 0.175 0.500 Cu
0.379 0.500 0.782 Cu
0.691 0.000 0.000 Rh
0.309 0.500 0.500 Rh
```

Values from the calculation:
As for the space group: Pmmn.


Most stable structure - <B>; separation to the second - 69 meV per atom.


<A>
Computed, not measured: a relaxed Li2Cu7Rh2 crystal at the PBE level of DFT.

POSCAR file:
```
Li2Cu7Rh2
1.0
5.691 0.896 -0.859
-1.156 5.644 -0.859
-0.627 -0.905 4.551
Li Cu Rh
2 7 2
direct
0.206 0.794 0.500 Li
0.794 0.206 0.500 Li
0.929 0.416 0.175 Cu
0.584 0.071 0.825 Cu
0.071 0.584 0.825 Cu
0.416 0.929 0.175 Cu
0.000 0.000 0.000 Cu
0.747 0.747 0.455 Cu
0.253 0.253 0.545 Cu
0.609 0.609 0.841 Rh
0.391 0.391 0.159 Rh
```

Values from the calculation:
As for the space group: C2/m.


<B>
Computed, not measured: a relaxed Li2Cu7Rh2 crystal at the PBE level of DFT.

POSCAR file:
```
Li2Cu7Rh2
1.0
4.606 -0.343 -0.448
-1.287 5.744 0.589
-1.287 -0.921 5.700
Li Cu Rh
2 7 2
direct
0.500 0.208 0.792 Li
0.500 0.792 0.208 Li
0.166 0.412 0.925 Cu
0.834 0.075 0.588 Cu
0.834 0.588 0.075 Cu
0.166 0.925 0.412 Cu
0.160 0.400 0.400 Cu
0.000 0.000 0.000 Cu
0.840 0.600 0.600 Cu
0.459 0.742 0.742 Rh
0.541 0.258 0.258 Rh
```

Values from the calculation:
As for the space group: C2/m.


Most stable structure - <A>; separation to the second - 31 meV per atom.


<A>
Computed, not measured: a relaxed LiCu4Rh crystal at the PBE level of DFT.

POSCAR file:
```
LiCu4Rh
1.0
3.946 0.000 -0.041
0.000 6.400 0.000
-1.922 0.000 5.966
Li Cu Rh
2 8 2
direct
0.829 0.750 0.659 Li
0.171 0.250 0.341 Li
0.337 0.509 0.674 Cu
0.663 0.009 0.326 Cu
0.337 0.991 0.674 Cu
0.663 0.491 0.326 Cu
0.000 0.500 0.000 Cu
0.000 0.000 0.000 Cu
0.505 0.750 0.011 Cu
0.495 0.250 0.989 Cu
0.166 0.750 0.331 Rh
0.834 0.250 0.669 Rh
```

Values from the calculation:
As for the space group: P2_1/m.


<B>
Computed, not measured: a relaxed LiCu4Rh crystal at the PBE level of DFT.

POSCAR file:
```
LiCu4Rh
1.0
-0.889 -1.143 4.571
2.659 -3.329 2.200
3.088 1.284 3.436
Cu Li Rh
4 1 1
direct
0.375 0.375 0.375 Cu
0.375 0.875 0.375 Cu
0.375 0.375 0.875 Cu
0.875 0.375 0.375 Cu
0.750 0.750 0.750 Li
0.000 0.000 0.000 Rh
```

Values from the calculation:
As for the space group: F-43m.


Most stable structure - <A>; separation to the second - 47 meV per atom.


<A>
Computed, not measured: a relaxed Li6CuRh crystal at the PBE level of DFT.

POSCAR file:
```
Li6CuRh
1.0
3.218 0.000 0.000
0.000 5.979 -0.038
0.000 0.038 5.979
Li Cu Rh
6 1 1
direct
0.000 0.744 0.256 Li
0.000 0.256 0.744 Li
0.000 0.744 0.744 Li
0.000 0.256 0.256 Li
0.500 0.500 0.000 Li
0.500 0.000 0.500 Li
0.500 0.000 0.000 Cu
0.500 0.500 0.500 Rh
```

Values from the calculation:
As for the space group: P4/mmm.


<B>
Computed, not measured: a relaxed Li6CuRh crystal at the PBE level of DFT.

POSCAR file:
```
Li6CuRh
1.0
-5.850 -0.592 -3.561
0.112 -2.766 -6.261
-2.370 -3.695 -2.162
Li Cu Rh
6 1 1
direct
0.001 0.502 0.743 Li
0.754 0.000 0.742 Li
0.500 0.246 0.255 Li
0.246 0.000 0.258 Li
0.999 0.498 0.257 Li
0.500 0.754 0.745 Li
0.500 0.500 0.500 Cu
0.000 0.000 0.000 Rh
```

Values from the calculation:
As for the space group: P-1.


Most stable structure - <A>; separation to the second - 11 meV per atom.


<A>
Computed, not measured: a relaxed Li2CuRu crystal at the PBE level of DFT.

POSCAR file:
```
Li2CuRu
1.0
-2.786 -3.795 2.200
2.405 -3.694 2.753
-1.399 4.943 -0.787
Cu Li Ru
1 2 1
direct
0.250 0.750 0.500 Cu
0.011 0.011 0.000 Li
0.489 0.489 0.000 Li
0.750 0.250 0.500 Ru
```

Values from the calculation:
As for the space group: Immm.


<B>
Computed, not measured: a relaxed Li2CuRu crystal at the PBE level of DFT.

POSCAR file:
```
Li2CuRu
1.0
2.547 0.000 0.000
0.000 2.547 0.000
0.000 0.000 8.724
Cu Li Ru
1 2 1
direct
0.500 0.500 0.744 Cu
0.000 0.000 0.973 Li
0.500 0.500 0.271 Li
0.000 0.000 0.511 Ru
```

Values from the calculation:
As for the space group: P4mm.


<C>
Computed, not measured: a relaxed Li2CuRu crystal at the PBE level of DFT.

POSCAR file:
```
Li2CuRu
1.0
4.495 0.000 0.000
0.000 2.506 -0.151
0.000 0.277 4.670
Cu Li Ru
1 2 1
direct
0.500 0.877 0.682 Cu
0.000 0.873 0.053 Li
0.500 0.375 0.201 Li
0.000 0.375 0.564 Ru
```

Values from the calculation:
As for the space group: Pm.


<D>
Computed, not measured: a relaxed Li2CuRu crystal at the PBE level of DFT.

POSCAR file:
```
Li2CuRu
1.0
-2.571 5.467 -7.163
-1.886 3.307 -8.562
-4.334 3.505 -7.532
Cu Li Ru
1 2 1
direct
0.752 0.752 0.752 Cu
0.007 0.007 0.007 Li
0.244 0.244 0.244 Li
0.497 0.497 0.497 Ru
```

Values from the calculation:
As for the space group: R3m.


Most stable structure - <A>; separation to the second - 18 meV per atom.